Below is a relaxed ZnNi15Sb4 crystal, with properties calculated at the PBE level.

DOS(E_F) ... 13.66 states/eV/cell
Space group ... P4/mmm (123)
ΔE_f (raw) ... -3.42 kcal/mol of atoms

Unit cell a=3.720 b=3.720 c=18.305 alpha=90.00 beta=90.00 gamma=90.00
Positions (direct):
Zn 0.000 0.000 0.000
Ni 0.500 0.500 0.000
Ni 0.500 0.500 0.198
Ni 0.500 0.500 0.399
Ni 0.500 0.500 0.601
Ni 0.500 0.500 0.802
Ni 0.500 0.000 0.093
Ni 0.500 0.000 0.297
Ni 0.500 0.000 0.500
Ni 0.500 0.000 0.703
Ni 0.500 0.000 0.907
Ni 0.000 0.500 0.093
Ni 0.000 0.500 0.297
Ni 0.000 0.500 0.500
Ni 0.000 0.500 0.703
Ni 0.000 0.500 0.907
Sb 0.000 0.000 0.191
Sb 0.000 0.000 0.397
Sb 0.000 0.000 0.603
Sb 0.000 0.000 0.809


Below is a relaxed LiTi2Ag crystal, with properties calculated at the PBE level.

DOS(E_F) ... 1.20 states/eV/cell
Space group ... Fm-3m (225)
Energy of formation ... 282 meV/atom

Unit cell a=4.580 b=4.580 c=4.580 alpha=60.00 beta=60.00 gamma=60.00
Last column: magnetic moment on the atom in μB.
Positions (direct):
Li 0.000 0.000 0.000  0.02
Ag 0.500 0.500 0.500  0.08
Ti 0.250 0.250 0.250  0.73
Ti 0.750 0.750 0.750  0.73


Below is a relaxed CrPtSCl2 crystal, with properties calculated at the PBE level.

DOS(E_F) ... 5.85 states/eV/cell
Space group ... P4/mmm (123)
ΔE_f (raw) ... 11.09 kcal/mol of atoms

Unit cell a=4.354 b=4.354 c=4.927 alpha=90.00 beta=90.00 gamma=90.00
Positions (direct):
Cr 0.000 0.000 0.000
S 0.000 0.000 0.500
Pt 0.500 0.500 0.500
Cl 0.000 0.500 0.000
Cl 0.500 0.000 0.000


Below is a relaxed CaPm2Y4 crystal, with properties calculated at the PBE level.

DOS(E_F) ... 14.54 states/eV/cell
Space group ... I4/mmm (139)
Energy of formation ... 234 meV/atom

Unit cell a=6.941 b=6.941 c=6.941 alpha=122.69 beta=103.29 gamma=103.30
Last column: magnetic moment on the atom in μB.
Positions (direct):
Y 0.000 0.301 0.699  0.06
Y 0.000 0.699 0.301  0.06
Y 0.603 0.301 0.301  0.06
Y 0.397 0.699 0.699  0.06
Ca 0.000 0.000 0.000  0.00
Pm 0.500 0.250 0.750  0.04
Pm 0.500 0.750 0.250  0.04


Below is a relaxed MgScTcSn crystal, with properties calculated at the PBE level.

DOS(E_F) ... 1.37 states/eV/cell
Space group ... P4mm (99)
Energy of formation ... -162 meV/atom

Unit cell a=3.487 b=3.487 c=6.432 alpha=90.00 beta=90.00 gamma=90.00
Positions (direct):
Mg 0.500 0.500 0.292
Sc 0.000 0.000 0.997
Tc 0.500 0.500 0.784
Sn 0.000 0.000 0.550


Below is a relaxed Pa2Si4Pt3 crystal, with properties calculated at the PBE level.

DOS(E_F) ... 16.51 states/eV/cell
Space group ... Cmce (64)
ΔE_f (raw) ... -18.39 kcal/mol of atoms

Unit cell a=5.652 b=7.476 c=7.868 alpha=90.00 beta=111.05 gamma=90.00
Positions (direct):
Pa 0.109 0.590 0.217
Pa 0.891 0.410 0.783
Pa 0.391 0.090 0.783
Pa 0.609 0.910 0.217
Si 0.697 0.750 0.894
Si 0.803 0.250 0.106
Si 0.303 0.250 0.106
Si 0.197 0.750 0.894
Si 0.178 0.971 0.357
Si 0.822 0.029 0.643
Si 0.322 0.471 0.643
Si 0.678 0.529 0.357
Pt 0.000 0.000 0.000
Pt 0.500 0.500 0.000
Pt 0.530 0.750 0.561
Pt 0.970 0.250 0.439
Pt 0.470 0.250 0.439
Pt 0.030 0.750 0.561


Below is a relaxed BaLaBr crystal, with properties calculated at the PBE level.

DOS(E_F) ... 2.95 states/eV/cell
Space group ... Fmm2 (42)
ΔE_f (raw) ... -17.42 kcal/mol of atoms

Unit cell a=8.844 b=8.460 c=3.996 alpha=82.08 beta=71.34 gamma=26.59
Positions (direct):
Ba 0.989 0.989 0.011
Br 0.327 0.327 0.673
La 0.684 0.684 0.316


Below is a relaxed InGe2PbSe6 crystal, with properties calculated at the PBE level.

DOS(E_F) ... 8.33 states/eV/cell
Space group ... C2/c (15)
ΔE_f (raw) ... -5.85 kcal/mol of atoms

Unit cell a=7.806 b=9.331 c=9.331 alpha=83.86 beta=72.47 gamma=72.47
Positions (direct):
In 0.250 0.201 0.799
In 0.750 0.799 0.201
Ge 0.298 0.754 0.624
Ge 0.202 0.376 0.246
Ge 0.702 0.246 0.376
Ge 0.798 0.624 0.754
Pb 0.250 0.860 0.140
Pb 0.750 0.140 0.860
Se 0.152 0.940 0.830
Se 0.348 0.170 0.060
Se 0.848 0.060 0.170
Se 0.652 0.830 0.940
Se 0.417 0.892 0.394
Se 0.083 0.606 0.108
Se 0.583 0.108 0.606
Se 0.917 0.394 0.892
Se 0.035 0.702 0.556
Se 0.465 0.444 0.298
Se 0.965 0.298 0.444
Se 0.535 0.556 0.702